# Li12AgPd6

Crystalline Li12AgPd6 at its relaxed geometry (PBE, Alexandria via LeMat-Bulk).

a b c (Å): 7.236 7.236 7.236
angles (deg): 110.66 110.66 110.66
Element x y z (fractional)
Li 0.015 0.176 0.299
Li 0.176 0.299 0.015
Li 0.241 0.682 0.613
Li 0.299 0.015 0.176
Li 0.318 0.387 0.759
Li 0.387 0.759 0.318
Li 0.613 0.241 0.682
Li 0.682 0.613 0.241
Li 0.701 0.985 0.824
Li 0.759 0.318 0.387
Li 0.824 0.701 0.985
Li 0.985 0.824 0.701
Ag 0.500 0.500 0.500
Pd 0.061 0.550 0.850
Pd 0.150 0.939 0.450
Pd 0.450 0.150 0.939
Pd 0.550 0.850 0.061
Pd 0.850 0.061 0.550
Pd 0.939 0.450 0.150

Output
Polymorph energy (0 for the lowest one), eV/atom: 0.000
Energy relative to the elements, eV/atom: -0.3316
N(E_F), states/eV per atom: 0.174